[1]
The following is a DFT calculation (PBE) of a geometry-optimized KBaW2 structure.

Cell and atoms, written as CIF:
```
data_KBaW2
_symmetry_space_group_name_H-M 'C 1 2/m 1'
_symmetry_Int_Tables_number 12
_cell_length_a 12.613
_cell_length_b 3.357
_cell_length_c 8.759
_cell_angle_alpha 90.00
_cell_angle_beta 116.20
_cell_angle_gamma 90.00
loop_
_symmetry_equiv_pos_as_xyz
'x,y,z'
'-x,-y,-z'
'-x,y,-z'
'x,-y,z'
'x+1/2,y+1/2,z'
'-x+1/2,-y+1/2,-z'
'-x+1/2,y+1/2,-z'
'x+1/2,-y+1/2,z'
loop_
_atom_site_label
_atom_site_fract_x
_atom_site_fract_y
_atom_site_fract_z
_atom_site_occupancy
K1 0.000 0.000 0.000 1
Ba1 0.000 0.500 0.500 1
W1 0.227 0.500 0.392 1
```

- final energy (eV/atom) = -5.861
- ΔH_f (0 K) (meV per atom) = 1370.6
- excess energy over the best structure of this formula in the dataset (kJ/mol of atoms) = 45.9

[2]
The following is a DFT calculation (PBE) of a geometry-optimized PrThTlC structure.

Cell and atoms, written as CIF:
```
data_PrThTlC
_symmetry_space_group_name_H-M 'C 1 m 1'
_symmetry_Int_Tables_number 8
_cell_length_a 6.480
_cell_length_b 3.739
_cell_length_c 8.765
_cell_angle_alpha 90.00
_cell_angle_beta 104.33
_cell_angle_gamma 90.00
loop_
_symmetry_equiv_pos_as_xyz
'x,y,z'
'x,-y,z'
'x+1/2,y+1/2,z'
'x+1/2,-y+1/2,z'
loop_
_atom_site_label
_atom_site_fract_x
_atom_site_fract_y
_atom_site_fract_z
_atom_site_occupancy
Pr1 0.000 0.000 0.000 1
Th1 0.220 0.000 0.662 1
Tl1 0.276 0.500 0.328 1
C1 0.104 0.500 0.814 1
```

- final energy (eV/atom) = -6.226
- ΔH_f (0 K) (meV per atom) = -278.6

[3]
The following is a DFT calculation (PBE) of a geometry-optimized MoH12C2S4N2 structure.

Cell and atoms, written as CIF:
```
data_MoH12C2S4N2
_symmetry_space_group_name_H-M 'P n m a'
_symmetry_Int_Tables_number 62
_cell_length_a 9.711
_cell_length_b 7.172
_cell_length_c 16.300
_cell_angle_alpha 90.00
_cell_angle_beta 90.00
_cell_angle_gamma 90.00
loop_
_symmetry_equiv_pos_as_xyz
'x,y,z'
'-x,-y,-z'
'-x+1/2,-y,z+1/2'
'x+1/2,y,-z+1/2'
'x+1/2,-y+1/2,-z+1/2'
'-x+1/2,y+1/2,z+1/2'
'-x,y+1/2,-z'
'x,-y+1/2,z'
loop_
_atom_site_label
_atom_site_fract_x
_atom_site_fract_y
_atom_site_fract_z
_atom_site_occupancy
Mo1 0.241 0.250 0.049 1
H1 0.016 0.125 0.764 1
H2 0.028 0.250 0.902 1
H3 0.043 0.250 0.318 1
H4 0.124 0.634 0.112 1
H5 0.140 0.133 0.446 1
H6 0.142 0.750 0.251 1
H7 0.201 0.125 0.301 1
H8 0.213 0.750 0.929 1
C1 0.043 0.750 0.219 1
C2 0.154 0.250 0.327 1
S1 0.025 0.250 0.089 1
S2 0.152 0.502 0.596 1
S3 0.245 0.750 0.413 1
N1 0.067 0.750 0.129 1
N2 0.181 0.250 0.417 1
```

- final energy (eV/atom) = -5.219

[4]
The following is a DFT calculation (PBE) of a geometry-optimized Ta4SiRu structure.

Cell and atoms, written as CIF:
```
data_Ta4SiRu
_symmetry_space_group_name_H-M 'F -4 3 m'
_symmetry_Int_Tables_number 216
_symmetry_space_group_name_Hall 'F -4 2 3'
_cell_length_a 7.546
_cell_length_b 7.546
_cell_length_c 7.546
_cell_angle_alpha 90.00
_cell_angle_beta 90.00
_cell_angle_gamma 90.00
loop_
_atom_site_label
_atom_site_fract_x
_atom_site_fract_y
_atom_site_fract_z
_atom_site_occupancy
Ta1 0.124 0.124 0.376 1
Si1 0.250 0.250 0.750 1
Ru1 0.000 0.000 0.000 1
```

- final energy (eV/atom) = -9.865
- formation energy from raw total energies (kJ/mol of atoms) = 46.98

[5]
The following is a DFT calculation (PBE) of a geometry-optimized TiBeAs2S structure.

Cell and atoms, written as CIF:
```
data_TiBeAs2S
_symmetry_space_group_name_H-M 'P 4/m m m'
_symmetry_Int_Tables_number 123
_symmetry_space_group_name_Hall '-P 4 2'
_cell_length_a 4.953
_cell_length_b 4.953
_cell_length_c 4.519
_cell_angle_alpha 90.00
_cell_angle_beta 90.00
_cell_angle_gamma 90.00
loop_
_atom_site_label
_atom_site_fract_x
_atom_site_fract_y
_atom_site_fract_z
_atom_site_occupancy
Ti1 0.000 0.000 0.000 1
Be1 0.500 0.500 0.500 1
As1 0.000 0.500 0.000 1
S1 0.000 0.000 0.500 1
```

- final energy (eV/atom) = -4.560
- formation energy from raw total energies (kJ/mol of atoms) = 43.38

[6]
The following is a DFT calculation (PBE) of a geometry-optimized TbErPb structure.

Cell and atoms, written as CIF:
```
data_TbErPb
_symmetry_space_group_name_H-M 'P n m a'
_symmetry_Int_Tables_number 62
_cell_length_a 11.441
_cell_length_b 4.471
_cell_length_c 7.800
_cell_angle_alpha 90.00
_cell_angle_beta 90.00
_cell_angle_gamma 90.00
loop_
_symmetry_equiv_pos_as_xyz
'x,y,z'
'-x,-y,-z'
'-x+1/2,-y,z+1/2'
'x+1/2,y,-z+1/2'
'x+1/2,-y+1/2,-z+1/2'
'-x+1/2,y+1/2,z+1/2'
'-x,y+1/2,-z'
'x,-y+1/2,z'
loop_
_atom_site_label
_atom_site_fract_x
_atom_site_fract_y
_atom_site_fract_z
_atom_site_occupancy
Tb1 0.105 0.250 0.121 1
Er1 0.103 0.250 0.647 1
Pb1 0.170 0.750 0.389 1
```

- final energy (eV/atom) = -4.457
- ΔH_f (0 K) (meV per atom) = -156.5
- excess energy over the best structure of this formula in the dataset (kJ/mol of atoms) = 25.6

[7]
The following is a DFT calculation (PBE) of a geometry-optimized AcGd3Ir structure.

Cell and atoms, written as CIF:
```
data_AcGd3Ir
_symmetry_space_group_name_H-M 'P m -3 m'
_symmetry_Int_Tables_number 221
_symmetry_space_group_name_Hall '-P 4 2 3'
_cell_length_a 5.550
_cell_length_b 5.550
_cell_length_c 5.550
_cell_angle_alpha 90.00
_cell_angle_beta 90.00
_cell_angle_gamma 90.00
loop_
_atom_site_label
_atom_site_fract_x
_atom_site_fract_y
_atom_site_fract_z
_atom_site_occupancy
Ac1 0.000 0.000 0.000 1
Gd1 0.000 0.500 0.500 1
Ir1 0.500 0.500 0.500 1
```

- final energy (eV/atom) = -11.358
- ΔH_f (0 K) (meV per atom) = -315.5

[8]
The following is a DFT calculation (PBE) of a geometry-optimized Ac3ThAs4 structure.

Cell and atoms, written as CIF:
```
data_Ac3ThAs4
_symmetry_space_group_name_H-M 'C m m m'
_symmetry_Int_Tables_number 65
_symmetry_space_group_name_Hall '-C 2 2'
_cell_length_a 8.947
_cell_length_b 12.622
_cell_length_c 4.458
_cell_angle_alpha 90.00
_cell_angle_beta 90.00
_cell_angle_gamma 90.00
loop_
_atom_site_label
_atom_site_fract_x
_atom_site_fract_y
_atom_site_fract_z
_atom_site_occupancy
Ac1 0.000 0.000 0.000 1
Ac2 0.250 0.250 0.500 1
Th1 0.000 0.500 0.000 1
As1 0.000 0.258 0.000 1
As2 0.236 0.500 0.500 1
```

- final energy (eV/atom) = -6.256
- ΔH_f (0 K) (meV per atom) = -1463.4

Among the records above, which one has the highest final energy?
TbErPb